Entry 1:
Material: PuThF6
Method: DFT, PBE
State: optimized geometry

```
data_PuThF6
_chemical_formula_sum 'Pu3 Th3 F18'
_symmetry_space_group_name_H-M 'R -3 m'
_symmetry_Int_Tables_number 166
_symmetry_space_group_name_Hall '-R 3 2"'
_cell_length_a 4.8090
_cell_length_b 4.8090
_cell_length_c 17.8395
_cell_angle_alpha 90.00
_cell_angle_beta 90.00
_cell_angle_gamma 120.00
loop_
_atom_site_label
_atom_site_type_symbol
_atom_site_fract_x
_atom_site_fract_y
_atom_site_fract_z
Pu1 Pu 0.0000 0.0000 0.0000
Th1 Th 0.0000 0.0000 0.5000
F1 F 0.0049 0.5024 0.4327
```

Results
Density of states at the Fermi level ... 24.93 states/eV per cell
Raw total energy ... -7.292 eV per atom
Crystal system ... trigonal
Spin magnetization ... 5.99 μB per formula unit
Energy relative to the elements, uncorrected ... -3.170 eV/atom

Entry 2:
Material: TbPr2Cl
Method: DFT, PBE
State: optimized geometry

```
data_TbPr2Cl
_chemical_formula_sum 'Tb3 Pr6 Cl3'
_symmetry_space_group_name_H-M 'R -3 m'
_symmetry_Int_Tables_number 166
_symmetry_space_group_name_Hall '-R 3 2"'
_cell_length_a 3.6964
_cell_length_b 3.6964
_cell_length_c 31.2782
_cell_angle_alpha 90.00
_cell_angle_beta 90.00
_cell_angle_gamma 120.00
loop_
_atom_site_label
_atom_site_type_symbol
_atom_site_fract_x
_atom_site_fract_y
_atom_site_fract_z
Tb1 Tb 0.0000 0.0000 0.0000
Pr1 Pr 0.0000 0.0000 0.2399
Cl1 Cl 0.0000 0.0000 0.5000
```

Results
Density of states at the Fermi level ... 11.58 states/eV per cell
Raw total energy ... -4.680 eV per atom
Crystal system ... trigonal
Spin magnetization ... 0.00 μB per formula unit
Energy relative to the elements, uncorrected ... -0.671 eV/atom

Entry 3:
Material: InGaPO2
Method: DFT, PBE
State: optimized geometry

```
data_InGaPO2
_chemical_formula_sum 'In1 Ga1 P1 O2'
_symmetry_space_group_name_H-M 'P 4/m m m'
_symmetry_Int_Tables_number 123
_symmetry_space_group_name_Hall '-P 4 2'
_cell_length_a 4.0371
_cell_length_b 4.0371
_cell_length_c 5.6676
_cell_angle_alpha 90.00
_cell_angle_beta 90.00
_cell_angle_gamma 90.00
loop_
_atom_site_label
_atom_site_type_symbol
_atom_site_fract_x
_atom_site_fract_y
_atom_site_fract_z
In1 In 0.0000 0.0000 0.0000
Ga1 Ga 0.5000 0.5000 0.5000
P1 P 0.0000 0.0000 0.5000
O1 O 0.0000 0.5000 0.0000
```

Results
Density of states at the Fermi level ... 3.70 states/eV per cell
Raw total energy ... -4.240 eV per atom
Crystal system ... tetragonal
Spin magnetization ... 1.46 μB per formula unit
Energy relative to the elements, uncorrected ... -0.022 eV/atom

Entry 4:
Material: CaGaCl5
Method: DFT, PBE
State: optimized geometry

```
data_CaGaCl5
_chemical_formula_sum 'Ca4 Ga4 Cl20'
_symmetry_space_group_name_H-M 'C 1 2/c 1'
_symmetry_Int_Tables_number 15
_cell_length_a 10.3911
_cell_length_b 9.9448
_cell_length_c 10.0444
_cell_angle_alpha 90.00
_cell_angle_beta 119.00
_cell_angle_gamma 90.00
loop_
_symmetry_equiv_pos_as_xyz
'x,y,z'
'-x,-y,-z'
'-x,y,-z+1/2'
'x,-y,z+1/2'
'x+1/2,y+1/2,z'
'-x+1/2,-y+1/2,-z'
'-x+1/2,y+1/2,-z+1/2'
'x+1/2,-y+1/2,z+1/2'
loop_
_atom_site_label
_atom_site_type_symbol
_atom_site_fract_x
_atom_site_fract_y
_atom_site_fract_z
Ca1 Ca 0.0000 0.0000 0.0000
Ga1 Ga 0.0000 0.3977 0.2500
Cl1 Cl 0.0000 0.0812 0.7500
Cl2 Cl 0.0181 0.2798 0.4444
Cl3 Cl 0.1903 0.4642 0.8333
```

Results
Density of states at the Fermi level ... 0.00 states/eV per cell
Raw total energy ... -3.678 eV per atom
Crystal system ... monoclinic
Spin magnetization ... 0.11 μB per formula unit
Energy relative to the elements, uncorrected ... -1.641 eV/atom

Entry 5:
Material: Li2BeRu
Method: DFT, PBE
State: optimized geometry

```
data_Li2BeRu
_chemical_formula_sum 'Li4 Be2 Ru2'
_symmetry_space_group_name_H-M 'C m m m'
_symmetry_Int_Tables_number 65
_symmetry_space_group_name_Hall '-C 2 2'
_cell_length_a 2.6796
_cell_length_b 4.3220
_cell_length_c 8.9188
_cell_angle_alpha 90.00
_cell_angle_beta 90.00
_cell_angle_gamma 90.00
loop_
_atom_site_label
_atom_site_type_symbol
_atom_site_fract_x
_atom_site_fract_y
_atom_site_fract_z
Li1 Li 0.0000 0.0000 0.2475
Be1 Be 0.0000 0.5000 0.0000
Ru1 Ru 0.0000 0.5000 0.5000
```

Results
Density of states at the Fermi level ... 1.88 states/eV per cell
Raw total energy ... -3.972 eV per atom
Crystal system ... orthorhombic
Spin magnetization ... 0.00 μB per formula unit

Entry 6:
Material: TaCrC2
Method: DFT, PBE
State: optimized geometry

```
data_TaCrC2
_chemical_formula_sum 'Ta3 Cr3 C6'
_symmetry_space_group_name_H-M 'R 3 m'
_symmetry_Int_Tables_number 160
_symmetry_space_group_name_Hall 'R 3 -2"'
_cell_length_a 3.0267
_cell_length_b 3.0267
_cell_length_c 15.2246
_cell_angle_alpha 90.00
_cell_angle_beta 90.00
_cell_angle_gamma 120.00
loop_
_atom_site_label
_atom_site_type_symbol
_atom_site_fract_x
_atom_site_fract_y
_atom_site_fract_z
Ta1 Ta 0.0000 0.0000 0.0000
Cr1 Cr 0.0000 0.0000 0.1783
C1 C 0.0000 0.0000 0.4257
C2 C 0.0000 0.0000 0.5796
```

Results
Density of states at the Fermi level ... 7.94 states/eV per cell
Raw total energy ... -10.095 eV per atom
Crystal system ... trigonal
Spin magnetization ... 0.52 μB per formula unit

Q: Which value of spin magnetization does entry 2 give?
A: 0.00 μB per formula unit

Q: What is the raw total energy in the fourth record?
A: -3.678 eV per atom

Q: spin magnetization of number 4 (CaGaCl5)?
A: 0.11 μB per formula unit